Record 1
# Tl2PdRu2 GGA-PBE optimized geometry
data_Tl2PdRu2
_chemical_formula_sum 'Tl4 Pd2 Ru4'
_cell_length_a 7.8426
_cell_length_b 7.8426
_cell_length_c 3.1150
_cell_angle_alpha 90.00
_cell_angle_beta 90.00
_cell_angle_gamma 90.00
_symmetry_space_group_name_H-M 'P 4/m b m'
_symmetry_Int_Tables_number 127
_symmetry_space_group_name_Hall '-P 4 2ab'
loop_
_atom_site_label
_atom_site_type_symbol
_atom_site_fract_x
_atom_site_fract_y
_atom_site_fract_z
Tl1 Tl 0.1808 0.3192 0.0000
Pd1 Pd 0.0000 0.0000 0.0000
Ru1 Ru 0.1147 0.6147 0.5000
# Polymorph energy (0 for the lowest one) ... 107 meV/atom
# Density ... 12.43 Mg/m³
# DFT formation energy ... 0.6374 eV/atom
# Total magnetization ... 3.8 μB per cell
# Raw total energy ... -5.06 eV per atom

***

Record 2
# TlPd3Ru GGA-PBE optimized geometry
data_TlPd3Ru
_chemical_formula_sum 'Tl1 Pd3 Ru1'
_cell_length_a 4.9814
_cell_length_b 4.9814
_cell_length_c 4.9814
_cell_angle_alpha 90.00
_cell_angle_beta 90.00
_cell_angle_gamma 90.00
_symmetry_space_group_name_H-M 'P m -3 m'
_symmetry_Int_Tables_number 221
_symmetry_space_group_name_Hall '-P 4 2 3'
loop_
_atom_site_label
_atom_site_type_symbol
_atom_site_fract_x
_atom_site_fract_y
_atom_site_fract_z
Tl1 Tl 0.0000 0.0000 0.0000
Pd1 Pd 0.0000 0.0000 0.5000
Ru1 Ru 0.5000 0.5000 0.5000
# Polymorph energy (0 for the lowest one) ... 554 meV/atom
# Density ... 8.39 Mg/m³
# DFT formation energy ... 1.4889 eV/atom
# Total magnetization ... 3.0 μB per cell
# Raw total energy ... -3.96 eV per atom

***

Record 3
# TmTlPdRu GGA-PBE optimized geometry
data_TmTlPdRu
_chemical_formula_sum 'Tm4 Tl4 Pd4 Ru4'
_cell_length_a 6.6954
_cell_length_b 6.6954
_cell_length_c 6.6954
_cell_angle_alpha 90.00
_cell_angle_beta 90.00
_cell_angle_gamma 90.00
_symmetry_space_group_name_H-M 'F -4 3 m'
_symmetry_Int_Tables_number 216
_symmetry_space_group_name_Hall 'F -4 2 3'
loop_
_atom_site_label
_atom_site_type_symbol
_atom_site_fract_x
_atom_site_fract_y
_atom_site_fract_z
Tm1 Tm 0.0000 0.0000 0.0000
Tl1 Tl 0.0000 0.0000 0.5000
Pd1 Pd 0.2500 0.2500 0.7500
Ru1 Ru 0.2500 0.2500 0.2500
# Density ... 12.85 Mg/m³
# DFT formation energy ... -0.3302 eV/atom
# Total magnetization ... 0.0 μB per cell
# Raw total energy ... -5.66 eV per atom

***

Record 4
# Tm5Tl2PdRu2 GGA-PBE optimized geometry
data_Tm5Tl2PdRu2
_chemical_formula_sum 'Tm10 Tl4 Pd2 Ru4'
_cell_length_a 11.6753
_cell_length_b 11.6753
_cell_length_c 3.4572
_cell_angle_alpha 90.00
_cell_angle_beta 90.00
_cell_angle_gamma 90.00
_symmetry_space_group_name_H-M 'P 4/m b m'
_symmetry_Int_Tables_number 127
_symmetry_space_group_name_Hall '-P 4 2ab'
loop_
_atom_site_label
_atom_site_type_symbol
_atom_site_fract_x
_atom_site_fract_y
_atom_site_fract_z
Tm1 Tm 0.0000 0.5000 0.0000
Tm2 Tm 0.0679 0.1998 0.0000
Tl1 Tl 0.1777 0.6777 0.5000
Pd1 Pd 0.0000 0.0000 0.5000
Ru1 Ru 0.1343 0.3657 0.5000
# Density ... 11.01 Mg/m³
# DFT formation energy ... -0.4205 eV/atom
# Total magnetization ... 0.0 μB per cell
# Raw total energy ... -5.50 eV per atom

***

Record 5
# YTl2PdRu GGA-PBE optimized geometry
data_YTl2PdRu
_chemical_formula_sum 'Y1 Tl2 Pd1 Ru1'
_cell_length_a 5.8298
_cell_length_b 5.8298
_cell_length_c 4.7646
_cell_angle_alpha 90.00
_cell_angle_beta 90.00
_cell_angle_gamma 90.00
_symmetry_space_group_name_H-M 'P 4/m m m'
_symmetry_Int_Tables_number 123
_symmetry_space_group_name_Hall '-P 4 2'
loop_
_atom_site_label
_atom_site_type_symbol
_atom_site_fract_x
_atom_site_fract_y
_atom_site_fract_z
Y1 Y 0.0000 0.0000 0.0000
Tl1 Tl 0.0000 0.5000 0.0000
Pd1 Pd 0.5000 0.5000 0.5000
Ru1 Ru 0.0000 0.0000 0.5000
# Density ... 7.23 Mg/m³
# DFT formation energy ... 1.2170 eV/atom
# Total magnetization ... 0.0 μB per cell
# Raw total energy ... -3.92 eV per atom

***

Record 6
# Tm2PdRu GGA-PBE optimized geometry
data_Tm2PdRu
_chemical_formula_sum 'Tm8 Pd4 Ru4'
_cell_length_a 6.8008
_cell_length_b 6.8008
_cell_length_c 6.8008
_cell_angle_alpha 90.00
_cell_angle_beta 90.00
_cell_angle_gamma 90.00
_symmetry_space_group_name_H-M 'F m -3 m'
_symmetry_Int_Tables_number 225
_symmetry_space_group_name_Hall '-F 4 2 3'
loop_
_atom_site_label
_atom_site_type_symbol
_atom_site_fract_x
_atom_site_fract_y
_atom_site_fract_z
Tm1 Tm 0.2500 0.2500 0.2500
Pd1 Pd 0.0000 0.0000 0.0000
Ru1 Ru 0.0000 0.0000 0.5000
# Density ... 11.52 Mg/m³
# DFT formation energy ... -0.7265 eV/atom
# Total magnetization ... 0.0 μB per cell
# Raw total energy ... -6.58 eV per atom

***

Record 7
# Tm5Pd4Ru GGA-PBE optimized geometry
data_Tm5Pd4Ru
_chemical_formula_sum 'Tm5 Pd4 Ru1'
_cell_length_a 3.4168
_cell_length_b 3.4168
_cell_length_c 17.4099
_cell_angle_alpha 90.00
_cell_angle_beta 90.00
_cell_angle_gamma 90.00
_symmetry_space_group_name_H-M 'P 4/m m m'
_symmetry_Int_Tables_number 123
_symmetry_space_group_name_Hall '-P 4 2'
loop_
_atom_site_label
_atom_site_type_symbol
_atom_site_fract_x
_atom_site_fract_y
_atom_site_fract_z
Tm1 Tm 0.0000 0.0000 0.0000
Tm2 Tm 0.0000 0.0000 0.2027
Tm3 Tm 0.0000 0.0000 0.4063
Pd1 Pd 0.5000 0.5000 0.1018
Pd2 Pd 0.5000 0.5000 0.3017
Ru1 Ru 0.5000 0.5000 0.5000
# Density ... 11.20 Mg/m³
# DFT formation energy ... -0.8700 eV/atom
# Total magnetization ... 0.0 μB per cell
# Raw total energy ... -6.11 eV per atom

***

Record 8
# Tm2PdRu GGA-PBE optimized geometry
data_Tm2PdRu
_chemical_formula_sum 'Tm2 Pd1 Ru1'
_cell_length_a 3.4105
_cell_length_b 3.4105
_cell_length_c 6.7856
_cell_angle_alpha 90.00
_cell_angle_beta 90.00
_cell_angle_gamma 90.00
_symmetry_space_group_name_H-M 'P 4/m m m'
_symmetry_Int_Tables_number 123
_symmetry_space_group_name_Hall '-P 4 2'
loop_
_atom_site_label
_atom_site_type_symbol
_atom_site_fract_x
_atom_site_fract_y
_atom_site_fract_z
Tm1 Tm 0.0000 0.0000 0.2404
Pd1 Pd 0.5000 0.5000 0.5000
Ru1 Ru 0.5000 0.5000 0.0000
# Density ... 11.47 Mg/m³
# DFT formation energy ... -0.7650 eV/atom
# Total magnetization ... 0.0 μB per cell
# Raw total energy ... -6.62 eV per atom

***

Q: What is the formula in the sixth record?
A: Tm2PdRu

***

Q: The lowest raw total energy belongs to which entry?
A: number 8

***

Q: Number 6 is which compound?
A: Tm2PdRu